[1]
# CsTbSiTe4, relaxed, DFT PBE-GGA
data_CsTbSiTe4
_cell_length_a 7.1642
_cell_length_b 7.6536
_cell_length_c 10.4734
_cell_angle_alpha 90.00
_cell_angle_beta 109.24
_cell_angle_gamma 90.00
_symmetry_space_group_name_H-M 'P 1 21/m 1'
_symmetry_Int_Tables_number 11
loop_
_symmetry_equiv_pos_as_xyz
'x,y,z'
'-x,-y,-z'
'-x,y+1/2,-z'
'x,-y+1/2,z'
loop_
_atom_site_label
_atom_site_fract_x
_atom_site_fract_y
_atom_site_fract_z
Cs1 0.2367 0.2500 0.0561
Tb1 0.2289 0.2500 0.5490
Si1 0.2129 0.7500 0.3368
Te1 0.0230 0.5076 0.7001
Te2 0.4112 0.7500 0.1792
Te3 0.4363 0.7500 0.5781
# - total magnetic moment (Bohr magnetons per cell) = 0.00
# - crystal system = monoclinic
# - formation energy from raw total energies (eV per atom) = -0.83

---

[2]
# Zr2UTaC4, relaxed, DFT PBE-GGA
data_Zr2UTaC4
_cell_length_a 5.7695
_cell_length_b 3.3215
_cell_length_c 5.8001
_cell_angle_alpha 90.00
_cell_angle_beta 108.98
_cell_angle_gamma 90.00
_symmetry_space_group_name_H-M 'P 1 2/m 1'
_symmetry_Int_Tables_number 10
loop_
_symmetry_equiv_pos_as_xyz
'x,y,z'
'-x,-y,-z'
'-x,y,-z'
'x,-y,z'
loop_
_atom_site_label
_atom_site_fract_x
_atom_site_fract_y
_atom_site_fract_z
Zr1 0.0000 0.0000 0.0000
Zr2 0.0000 0.5000 0.5000
U1 0.5000 0.0000 0.5000
Ta1 0.5000 0.5000 0.0000
C1 0.2570 0.5000 0.2420
C2 0.2651 0.0000 0.7580
# - total magnetic moment (Bohr magnetons per cell) = 0.00
# - crystal system = monoclinic
# - calculated formation energy (eV/atom) = -0.62

---

[3]
# Cr2ReOs, relaxed, DFT PBE-GGA
data_Cr2ReOs
_cell_length_a 2.9321
_cell_length_b 4.3891
_cell_length_c 8.3586
_cell_angle_alpha 90.00
_cell_angle_beta 90.00
_cell_angle_gamma 90.00
_symmetry_space_group_name_H-M 'C m m 2'
_symmetry_Int_Tables_number 35
loop_
_symmetry_equiv_pos_as_xyz
'x,y,z'
'-x,-y,z'
'-x,y,z'
'x,-y,z'
'x+1/2,y+1/2,z'
'-x+1/2,-y+1/2,z'
'-x+1/2,y+1/2,z'
'x+1/2,-y+1/2,z'
loop_
_atom_site_label
_atom_site_fract_x
_atom_site_fract_y
_atom_site_fract_z
Cr1 0.0000 0.0000 0.0000
Cr2 0.0000 0.5000 0.2236
Re1 0.0000 0.0000 0.4728
Os1 0.0000 0.5000 0.7512
# - total magnetic moment (Bohr magnetons per cell) = 0.00
# - crystal system = orthorhombic
# - calculated formation energy (eV/atom) = 0.27

---

[4]
# LaSbRu3, relaxed, DFT PBE-GGA
data_LaSbRu3
_cell_length_a 4.8494
_cell_length_b 4.8494
_cell_length_c 4.8494
_cell_angle_alpha 90.00
_cell_angle_beta 90.00
_cell_angle_gamma 90.00
_symmetry_space_group_name_H-M 'P m -3 m'
_symmetry_Int_Tables_number 221
_symmetry_space_group_name_Hall '-P 4 2 3'
loop_
_atom_site_label
_atom_site_fract_x
_atom_site_fract_y
_atom_site_fract_z
La1 0.0000 0.0000 0.0000
Sb1 0.5000 0.5000 0.5000
Ru1 0.0000 0.0000 0.5000
# - total magnetic moment (Bohr magnetons per cell) = 1.55
# - crystal system = cubic
# - relative energy among the computed polymorphs (meV/atom) = 1002
# - formation energy from raw total energies (eV per atom) = 1.62

---

[5]
# K2PaBe2N4, relaxed, DFT PBE-GGA
data_K2PaBe2N4
_cell_length_a 12.1563
_cell_length_b 3.4001
_cell_length_c 6.7585
_cell_angle_alpha 90.00
_cell_angle_beta 111.62
_cell_angle_gamma 90.00
_symmetry_space_group_name_H-M 'C 1 2/m 1'
_symmetry_Int_Tables_number 12
loop_
_symmetry_equiv_pos_as_xyz
'x,y,z'
'-x,-y,-z'
'-x,y,-z'
'x,-y,z'
'x+1/2,y+1/2,z'
'-x+1/2,-y+1/2,-z'
'-x+1/2,y+1/2,-z'
'x+1/2,-y+1/2,z'
loop_
_atom_site_label
_atom_site_fract_x
_atom_site_fract_y
_atom_site_fract_z
K1 0.1401 0.0000 0.0707
Pa1 0.0000 0.0000 0.5000
Be1 0.1841 0.5000 0.4763
N1 0.0325 0.5000 0.3100
N2 0.2015 0.0000 0.6123
# - total magnetic moment (Bohr magnetons per cell) = 0.02
# - crystal system = monoclinic
# - formation energy from raw total energies (eV per atom) = -0.76

---

[6]
# BaV2Ni, relaxed, DFT PBE-GGA
data_BaV2Ni
_cell_length_a 6.4599
_cell_length_b 6.4599
_cell_length_c 6.4599
_cell_angle_alpha 90.00
_cell_angle_beta 90.00
_cell_angle_gamma 90.00
_symmetry_space_group_name_H-M 'F m -3 m'
_symmetry_Int_Tables_number 225
_symmetry_space_group_name_Hall '-F 4 2 3'
loop_
_atom_site_label
_atom_site_fract_x
_atom_site_fract_y
_atom_site_fract_z
Ba1 0.0000 0.0000 0.0000
V1 0.2500 0.2500 0.2500
Ni1 0.0000 0.0000 0.5000
# - total magnetic moment (Bohr magnetons per cell) = 0.00
# - crystal system = cubic
# - relative energy among the computed polymorphs (meV/atom) = 187
# - calculated formation energy (eV/atom) = 1.13

---

[7]
# KCa2Ag, relaxed, DFT PBE-GGA
data_KCa2Ag
_cell_length_a 4.0340
_cell_length_b 4.0340
_cell_length_c 34.1495
_cell_angle_alpha 90.00
_cell_angle_beta 90.00
_cell_angle_gamma 120.00
_symmetry_space_group_name_H-M 'R 3 m'
_symmetry_Int_Tables_number 160
_symmetry_space_group_name_Hall 'R 3 -2"'
loop_
_atom_site_label
_atom_site_fract_x
_atom_site_fract_y
_atom_site_fract_z
K1 0.0000 0.0000 0.0000
Ca1 0.0000 0.0000 0.2251
Ca2 0.0000 0.0000 0.4650
Ag1 0.0000 0.0000 0.7406
# - total magnetic moment (Bohr magnetons per cell) = 0.27
# - crystal system = trigonal
# - relative energy among the computed polymorphs (meV/atom) = 152
# - calculated formation energy (eV/atom) = 0.07

---

[8]
# TbPm3Pr6Y2, relaxed, DFT PBE-GGA
data_TbPm3Pr6Y2
_cell_length_a 6.3640
_cell_length_b 11.0274
_cell_length_c 12.0565
_cell_angle_alpha 90.00
_cell_angle_beta 100.12
_cell_angle_gamma 90.00
_symmetry_space_group_name_H-M 'C 1 2/m 1'
_symmetry_Int_Tables_number 12
loop_
_symmetry_equiv_pos_as_xyz
'x,y,z'
'-x,-y,-z'
'-x,y,-z'
'x,-y,z'
'x+1/2,y+1/2,z'
'-x+1/2,-y+1/2,-z'
'-x+1/2,y+1/2,-z'
'x+1/2,-y+1/2,z'
loop_
_atom_site_label
_atom_site_fract_x
_atom_site_fract_y
_atom_site_fract_z
Tb1 0.0000 0.0000 0.0000
Pm1 0.0000 0.1667 0.5000
Pm2 0.0000 0.5000 0.5000
Pr1 0.2492 0.1663 0.2476
Pr2 0.2497 0.0000 0.7524
Y1 0.0000 0.3334 0.0000
# - total magnetic moment (Bohr magnetons per cell) = 0.00
# - crystal system = monoclinic
# - calculated formation energy (eV/atom) = 0.01

---

[9]
# NdEr2Zr, relaxed, DFT PBE-GGA
data_NdEr2Zr
_cell_length_a 4.8827
_cell_length_b 4.8827
_cell_length_c 4.8847
_cell_angle_alpha 90.00
_cell_angle_beta 90.00
_cell_angle_gamma 90.00
_symmetry_space_group_name_H-M 'P 4/m m m'
_symmetry_Int_Tables_number 123
_symmetry_space_group_name_Hall '-P 4 2'
loop_
_atom_site_label
_atom_site_fract_x
_atom_site_fract_y
_atom_site_fract_z
Nd1 0.0000 0.0000 0.0000
Er1 0.0000 0.5000 0.5000
Zr1 0.5000 0.5000 0.0000
# - total magnetic moment (Bohr magnetons per cell) = 0.00
# - crystal system = tetragonal
# - relative energy among the computed polymorphs (meV/atom) = 26
# - calculated formation energy (eV/atom) = 0.10

---

[10]
# La2IrRu, relaxed, DFT PBE-GGA
data_La2IrRu
_cell_length_a 7.4826
_cell_length_b 3.4538
_cell_length_c 7.5458
_cell_angle_alpha 90.00
_cell_angle_beta 99.45
_cell_angle_gamma 90.00
_symmetry_space_group_name_H-M 'C 1 2/m 1'
_symmetry_Int_Tables_number 12
loop_
_symmetry_equiv_pos_as_xyz
'x,y,z'
'-x,-y,-z'
'-x,y,-z'
'x,-y,z'
'x+1/2,y+1/2,z'
'-x+1/2,-y+1/2,-z'
'-x+1/2,y+1/2,-z'
'x+1/2,-y+1/2,z'
loop_
_atom_site_label
_atom_site_fract_x
_atom_site_fract_y
_atom_site_fract_z
La1 0.2502 0.0000 0.2475
Ir1 0.0000 0.0000 0.5000
Ru1 0.0000 0.5000 0.0000
# - total magnetic moment (Bohr magnetons per cell) = 0.00
# - crystal system = monoclinic
# - calculated formation energy (eV/atom) = -0.11

---

[11]
# As4O, relaxed, DFT PBE-GGA
data_As4O
_cell_length_a 4.4416
_cell_length_b 4.4416
_cell_length_c 4.4416
_cell_angle_alpha 90.00
_cell_angle_beta 90.00
_cell_angle_gamma 90.00
_symmetry_space_group_name_H-M 'P m -3 m'
_symmetry_Int_Tables_number 221
_symmetry_space_group_name_Hall '-P 4 2 3'
loop_
_atom_site_label
_atom_site_fract_x
_atom_site_fract_y
_atom_site_fract_z
As1 0.0000 0.0000 0.0000
As2 0.0000 0.5000 0.5000
O1 0.5000 0.5000 0.5000
# - total magnetic moment (Bohr magnetons per cell) = 0.00
# - crystal system = cubic
# - formation energy from raw total energies (eV per atom) = 0.39

---

[12]
# K2Na2Tl5In, relaxed, DFT PBE-GGA
data_K2Na2Tl5In
_cell_length_a 12.2624
_cell_length_b 12.2624
_cell_length_c 4.3741
_cell_angle_alpha 90.00
_cell_angle_beta 90.00
_cell_angle_gamma 90.00
_symmetry_space_group_name_H-M 'P 4/m b m'
_symmetry_Int_Tables_number 127
_symmetry_space_group_name_Hall '-P 4 2ab'
loop_
_atom_site_label
_atom_site_fract_x
_atom_site_fract_y
_atom_site_fract_z
K1 0.1785 0.3214 0.0000
Na1 0.1296 0.6296 0.0000
Tl1 0.0000 0.5000 0.5000
Tl2 0.0347 0.8108 0.5000
In1 0.0000 0.0000 0.0000
# - total magnetic moment (Bohr magnetons per cell) = 0.00
# - crystal system = tetragonal
# - calculated formation energy (eV/atom) = -0.06

---

[13]
# LaCrSe2N, relaxed, DFT PBE-GGA
data_LaCrSe2N
_cell_length_a 5.0930
_cell_length_b 5.0930
_cell_length_c 3.7254
_cell_angle_alpha 90.00
_cell_angle_beta 90.00
_cell_angle_gamma 90.00
_symmetry_space_group_name_H-M 'P 4/m m m'
_symmetry_Int_Tables_number 123
_symmetry_space_group_name_Hall '-P 4 2'
loop_
_atom_site_label
_atom_site_fract_x
_atom_site_fract_y
_atom_site_fract_z
La1 0.0000 0.0000 0.0000
Cr1 0.5000 0.5000 0.5000
Se1 0.0000 0.5000 0.5000
N1 0.5000 0.5000 0.0000
# - total magnetic moment (Bohr magnetons per cell) = 1.96
# - crystal system = tetragonal
# - relative energy among the computed polymorphs (meV/atom) = 0
# - formation energy from raw total energies (eV per atom) = -0.89

---

[14]
# Ac6P3S2O, relaxed, DFT PBE-GGA
data_Ac6P3S2O
_cell_length_a 18.6709
_cell_length_b 4.3247
_cell_length_c 8.5831
_cell_angle_alpha 90.00
_cell_angle_beta 102.50
_cell_angle_gamma 90.00
_symmetry_space_group_name_H-M 'C 1 2/m 1'
_symmetry_Int_Tables_number 12
loop_
_symmetry_equiv_pos_as_xyz
'x,y,z'
'-x,-y,-z'
'-x,y,-z'
'x,-y,z'
'x+1/2,y+1/2,z'
'-x+1/2,-y+1/2,-z'
'-x+1/2,y+1/2,-z'
'x+1/2,-y+1/2,z'
loop_
_atom_site_label
_atom_site_fract_x
_atom_site_fract_y
_atom_site_fract_z
Ac1 0.0022 0.0000 0.2644
Ac2 0.1588 0.5000 0.5761
Ac3 0.1658 0.5000 0.0872
P1 0.0000 0.5000 0.0000
P2 0.1692 0.0000 0.3359
S1 0.1648 0.0000 0.8319
O1 0.0000 0.5000 0.5000
# - total magnetic moment (Bohr magnetons per cell) = 0.00
# - crystal system = monoclinic
# - formation energy from raw total energies (eV per atom) = -1.83

---

[15]
# LaThScAg, relaxed, DFT PBE-GGA
data_LaThScAg
_cell_length_a 3.5824
_cell_length_b 3.5824
_cell_length_c 8.4737
_cell_angle_alpha 90.00
_cell_angle_beta 90.00
_cell_angle_gamma 90.00
_symmetry_space_group_name_H-M 'P 4 m m'
_symmetry_Int_Tables_number 99
loop_
_symmetry_equiv_pos_as_xyz
'x,y,z'
'-y,x,z'
'-x,-y,z'
'y,-x,z'
'-x,y,z'
'y,x,z'
'x,-y,z'
'-y,-x,z'
loop_
_atom_site_label
_atom_site_fract_x
_atom_site_fract_y
_atom_site_fract_z
La1 0.0000 0.0000 0.0000
Th1 0.5000 0.5000 0.7021
Sc1 0.0000 0.0000 0.4420
Ag1 0.5000 0.5000 0.2596
# - total magnetic moment (Bohr magnetons per cell) = 0.00
# - crystal system = tetragonal
# - calculated formation energy (eV/atom) = -0.11